DFT (GGA+U) results for Na4Co7P6O24 after structural relaxation.

Cell lengths 6.4554, 8.8416, 8.8416 Å; angles 107.67, 99.35, 99.35 degrees
Closest atoms and distances in Å follow each position.
Fractional coordinates of all 41 atoms:
O 0.1321 0.9624 0.3867  1 P 1.56
O 0.9123 0.2367 0.4137  1 P 1.58
O 0.2476 0.4502 0.4502  1 P 1.53
O 0.7835 0.1062 0.9021  1 P 1.57
O 0.1421 0.2010 0.2010  1 P 1.52
O 0.9123 0.4137 0.2367  1 P 1.58
O 0.5121 0.3509 0.0212  1 P 1.53
O 0.5121 0.0212 0.3509  1 P 1.53
O 0.2230 0.8892 0.0972  1 P 1.57
O 0.7188 0.2583 0.7185  1 P 1.58
O 0.8536 0.7962 0.7962  1 P 1.52
O 0.0697 0.5757 0.7488  1 P 1.58
O 0.2800 0.2685 0.7206  1 P 1.57
O 0.2800 0.7206 0.2685  1 P 1.57
O 0.7212 0.5452 0.5452  1 P 1.53
O 0.8672 0.0175 0.6089  1 P 1.55
O 0.8672 0.6089 0.0175  1 P 1.55
O 0.7835 0.9021 0.1062  1 P 1.57
O 0.4871 0.9612 0.6533  1 P 1.53
O 0.4871 0.6533 0.9612  1 P 1.53
O 0.1321 0.3867 0.9624  1 P 1.56
O 0.2230 0.0972 0.8892  1 P 1.57
O 0.0697 0.7488 0.5757  1 P 1.58
O 0.7188 0.7185 0.2583  1 P 1.58
Co 0.1849 0.6387 0.9964  6 O 2.01-2.24
Co 0.0037 0.9984 0.9984  6 O 2.05-2.06
Co 0.9994 0.6551 0.3355  4 O 1.98-2.05
Co 0.8137 0.9860 0.3581  6 O 2.01-2.20
Co 0.8137 0.3581 0.9860  6 O 2.01-2.20
Co 0.9994 0.3355 0.6551  4 O 1.98-2.05
Co 0.1849 0.9964 0.6387  6 O 2.01-2.24
P 0.2919 0.9032 0.2799  4 O 1.53-1.57
P 0.2919 0.2799 0.9032  4 O 1.53-1.57
P 0.7089 0.7160 0.0776  4 O 1.53-1.58
P 0.0582 0.3238 0.3238  4 O 1.52-1.58
P 0.9180 0.6666 0.6666  4 O 1.52-1.58
P 0.7089 0.0776 0.7160  4 O 1.53-1.58
Na 0.4403 0.6756 0.6756  5 O 2.34-2.62
Na 0.5165 0.0367 0.0367  4 O 2.35
Na 0.4883 0.5134 0.2913  5 O 2.27-2.48
Na 0.4883 0.2913 0.5134  5 O 2.27-2.48

Output
Total energy ... -6.579 eV per atom
Space-group type ... Cm
Total magnetization ... 21.00 μB per formula unit